# Pm5Ho8Pb

A relaxed Pm5Ho8Pb crystal (PBE, Alexandria).

Computed properties:
Fermi-level density of states ... 17.536 states/eV/f.u.
ΔE_f ... 166 meV/atom
VASP energy ... -61.8 eV for the cell shown
Space-group type ... I-4, No. 82
M_tot ... 0.00 μB per cell

Cell and atoms, written as extended XYZ:
```
14
Lattice="-4.803 4.803 5.038 4.803 -4.803 5.038 4.803 4.803 -5.038" Properties=species:S:1:pos:R:3 pbc="T T T"
Pm 0.000 0.000 0.000
Pm 5.767 2.749 -0.780
Pm 2.749 3.839 0.780
Pm -0.964 2.054 4.258
Pm 2.054 0.964 5.818
Ho 3.010 4.029 -2.570
Ho 1.793 0.774 2.468
Ho -0.674 3.096 0.995
Ho 5.578 3.010 2.570
Ho 0.674 6.511 0.995
Ho 1.707 4.129 4.043
Ho -0.774 1.793 7.608
Ho -1.707 5.478 4.043
Pb 4.803 0.000 2.519
```

---

# PaBCl

A relaxed PaBCl crystal (PBE, Alexandria).

Computed properties:
Uncorrected formation energy ... -0.9986 eV per atom
Fermi-level density of states ... 2.595 states/eV/f.u.
VASP energy ... -42.0 eV for the cell shown
Space-group type ... P2_1/m, No. 11
Excess energy over the best structure of this formula in the dataset ... 81 meV/atom
M_tot ... 0.00 μB per cell

Cell and atoms, written as extended XYZ:
```
6
Lattice="3.583 0.000 0.000 0.000 3.228 0.000 -1.785 0.000 11.056" Properties=species:S:1:pos:R:3 pbc="T T T"
Pa 0.000 0.807 1.591
Pa 1.798 2.421 9.465
B 0.007 0.807 10.679
B 1.791 2.421 0.376
Cl 0.007 2.421 7.383
Cl 1.791 0.807 3.673
```

---

# LaYAs2

A relaxed LaYAs2 crystal (PBE, Alexandria).

Computed properties:
Fermi-level density of states ... 0.608 states/eV/f.u.
ΔE_f ... -1529 meV/atom
VASP energy ... -26.8 eV for the cell shown
Space-group type ... P4/mmm, No. 123
Excess energy over the best structure of this formula in the dataset ... 28 meV/atom
M_tot ... 0.00 μB per cell

Cell and atoms, written as extended XYZ:
```
4
Lattice="4.262 0.000 0.000 0.000 4.262 0.000 0.000 0.000 6.010" Properties=species:S:1:pos:R:3 pbc="T T T"
La 0.000 0.000 0.000
Y 2.131 2.131 3.005
As 0.000 0.000 3.005
As 2.131 2.131 0.000
```